# 1
First-principles (PBE) data for crystalline Ta3GeO at its relaxed geometry, as listed in Alexandria.

Cell lengths 4.228, 4.228, 4.228 Å; angles 90.00, 90.00, 90.00 degrees
Sites, in units of the cell vectors:
Ta 0.000 0.000 0.500
Ta 0.000 0.500 0.000
Ta 0.500 0.000 0.000
Ge 0.500 0.500 0.500
O 0.000 0.000 0.000

Energy relative to the elements, uncorrected   -0.49 eV/atom
Energy above the most stable polymorph in this dataset   0 meV/atom

***

# 2
First-principles (PBE) data for crystalline PrMg2In2Hg2 at its relaxed geometry, as listed in Alexandria.

Cell lengths 8.955, 8.955, 8.955 Å; angles 31.42, 31.42, 31.42 degrees
Sites, in units of the cell vectors:
Pr 0.000 0.000 0.000
Mg 0.138 0.138 0.138
Mg 0.862 0.862 0.862
In 0.265 0.265 0.265
In 0.735 0.735 0.735
Hg 0.433 0.433 0.433
Hg 0.567 0.567 0.567

Formation enthalpy at 0 K   -23.4 kJ per mole of atoms

***

# 3
First-principles (PBE) data for crystalline NbAgCl6 at its relaxed geometry, as listed in Alexandria.

Cell lengths 6.513, 11.963, 6.380 Å; angles 90.00, 105.91, 90.00 degrees
Sites, in units of the cell vectors:
Nb 0.000 0.000 0.000
Nb 0.500 0.500 0.000
Ag 0.000 0.500 0.500
Ag 0.500 0.000 0.500
Cl 0.205 0.142 0.229
Cl 0.205 0.858 0.229
Cl 0.247 0.000 0.786
Cl 0.253 0.500 0.214
Cl 0.295 0.358 0.771
Cl 0.295 0.642 0.771
Cl 0.705 0.358 0.229
Cl 0.705 0.642 0.229
Cl 0.747 0.500 0.786
Cl 0.753 0.000 0.214
Cl 0.795 0.142 0.771
Cl 0.795 0.858 0.771

Energy relative to the elements, uncorrected   -1.00 eV/atom

***

# 4
First-principles (PBE) data for crystalline CdBi5Au4 at its relaxed geometry, as listed in Alexandria.

Cell lengths 9.517, 9.517, 7.243 Å; angles 112.04, 112.04, 27.24 degrees
Sites, in units of the cell vectors:
Cd 0.000 0.000 0.000
Bi 0.000 0.000 0.500
Bi 0.322 0.322 0.826
Bi 0.333 0.333 0.331
Bi 0.667 0.667 0.669
Bi 0.678 0.678 0.174
Au 0.142 0.142 0.899
Au 0.463 0.463 0.737
Au 0.537 0.537 0.263
Au 0.858 0.858 0.101

Formation enthalpy at 0 K   0.2 kJ per mole of atoms

***

# 5
First-principles (PBE) data for crystalline AcEuTlIr at its relaxed geometry, as listed in Alexandria.

Cell lengths 7.632, 7.632, 7.632 Å; angles 90.00, 90.00, 90.00 degrees
Sites, in units of the cell vectors:
Ac 0.000 0.000 0.000
Ac 0.000 0.500 0.500
Ac 0.500 0.000 0.500
Ac 0.500 0.500 0.000
Eu 0.000 0.000 0.500
Eu 0.000 0.500 0.000
Eu 0.500 0.000 0.000
Eu 0.500 0.500 0.500
Tl 0.250 0.250 0.250
Tl 0.250 0.750 0.750
Tl 0.750 0.250 0.750
Tl 0.750 0.750 0.250
Ir 0.250 0.250 0.750
Ir 0.250 0.750 0.250
Ir 0.750 0.250 0.250
Ir 0.750 0.750 0.750

Formation enthalpy at 0 K   -26.6 kJ per mole of atoms

***

# 6
First-principles (PBE) data for crystalline Ba3Ac2Ag2Hg4 at its relaxed geometry, as listed in Alexandria.

Cell lengths 4.955, 4.955, 19.310 Å; angles 90.00, 90.00, 120.00 degrees
Sites, in units of the cell vectors:
Ba 0.000 0.000 0.000
Ba 0.000 0.000 0.229
Ba 0.000 0.000 0.771
Ac 0.333 0.667 0.573
Ac 0.667 0.333 0.427
Ag 0.333 0.667 0.113
Ag 0.667 0.333 0.887
Hg 0.333 0.667 0.343
Hg 0.333 0.667 0.886
Hg 0.667 0.333 0.114
Hg 0.667 0.333 0.657

Formation enthalpy at 0 K   -27.9 kJ per mole of atoms

***

# 7
First-principles (PBE) data for crystalline MnZnPdC2 at its relaxed geometry, as listed in Alexandria.

Cell lengths 3.942, 3.942, 4.755 Å; angles 90.00, 90.00, 90.00 degrees
Sites, in units of the cell vectors:
Mn 0.000 0.000 0.000
Zn 0.500 0.500 0.000
Pd 0.500 0.500 0.500
C 0.000 0.500 0.500
C 0.500 0.000 0.500

Formation enthalpy at 0 K   224.0 kJ per mole of atoms

***

# 8
First-principles (PBE) data for crystalline SmInCuIr at its relaxed geometry, as listed in Alexandria.

Cell lengths 6.781, 6.781, 6.781 Å; angles 90.00, 90.00, 90.00 degrees
Sites, in units of the cell vectors:
Sm 0.000 0.000 0.000
Sm 0.000 0.500 0.500
Sm 0.500 0.000 0.500
Sm 0.500 0.500 0.000
In 0.000 0.000 0.500
In 0.000 0.500 0.000
In 0.500 0.000 0.000
In 0.500 0.500 0.500
Cu 0.250 0.250 0.750
Cu 0.250 0.750 0.250
Cu 0.750 0.250 0.250
Cu 0.750 0.750 0.750
Ir 0.250 0.250 0.250
Ir 0.250 0.750 0.750
Ir 0.750 0.250 0.750
Ir 0.750 0.750 0.250

Formation enthalpy at 0 K   -29.6 kJ per mole of atoms

***

# 9
First-principles (PBE) data for crystalline Tm3CoIr at its relaxed geometry, as listed in Alexandria.

Cell lengths 6.680, 6.680, 7.218 Å; angles 62.47, 62.49, 60.13 degrees
Sites, in units of the cell vectors:
Tm 0.105 0.257 0.245
Tm 0.242 0.107 0.755
Tm 0.393 0.604 0.245
Tm 0.607 0.396 0.755
Tm 0.758 0.893 0.245
Tm 0.895 0.743 0.755
Co 0.178 0.677 0.968
Co 0.822 0.323 0.032
Ir 0.325 0.825 0.526
Ir 0.675 0.175 0.474

Formation enthalpy at 0 K   -42.2 kJ per mole of atoms
Energy above the most stable polymorph in this dataset   71 meV/atom

***

# 10
First-principles (PBE) data for crystalline BaCd5Rh2 at its relaxed geometry, as listed in Alexandria.

Cell lengths 4.429, 8.246, 10.500 Å; angles 90.00, 90.00, 90.00 degrees
Sites, in units of the cell vectors:
Ba 0.000 0.000 0.000
Ba 0.500 0.500 0.500
Cd 0.000 0.183 0.336
Cd 0.000 0.183 0.664
Cd 0.000 0.500 0.000
Cd 0.000 0.817 0.336
Cd 0.000 0.817 0.664
Cd 0.500 0.000 0.500
Cd 0.500 0.317 0.164
Cd 0.500 0.317 0.836
Cd 0.500 0.683 0.164
Cd 0.500 0.683 0.836
Rh 0.000 0.500 0.255
Rh 0.000 0.500 0.745
Rh 0.500 0.000 0.245
Rh 0.500 0.000 0.755

Formation enthalpy at 0 K   -19.6 kJ per mole of atoms

***

# 11
First-principles (PBE) data for crystalline CoCuNi2Pt5 at its relaxed geometry, as listed in Alexandria.

Cell lengths 8.240, 8.240, 8.240 Å; angles 136.37, 136.37, 63.41 degrees
Sites, in units of the cell vectors:
Co 0.250 0.750 0.500
Co 0.750 0.250 0.500
Cu 0.250 0.250 0.000
Cu 0.750 0.750 0.000
Ni 0.121 0.621 0.742
Ni 0.379 0.121 0.500
Ni 0.621 0.879 0.500
Ni 0.879 0.379 0.258
Pt 0.000 0.000 0.000
Pt 0.079 0.134 0.500
Pt 0.134 0.634 0.055
Pt 0.366 0.421 0.500
Pt 0.421 0.921 0.055
Pt 0.500 0.500 0.000
Pt 0.579 0.079 0.945
Pt 0.634 0.579 0.500
Pt 0.866 0.366 0.945
Pt 0.921 0.866 0.500

Formation enthalpy at 0 K   22.5 kJ per mole of atoms

***

# 12
First-principles (PBE) data for crystalline Ni5As2S2 at its relaxed geometry, as listed in Alexandria.

Cell lengths 6.389, 6.389, 6.747 Å; angles 105.74, 105.74, 31.62 degrees
Sites, in units of the cell vectors:
Ni 0.000 0.000 0.000
Ni 0.190 0.190 0.568
Ni 0.323 0.323 0.953
Ni 0.677 0.677 0.047
Ni 0.810 0.810 0.432
As 0.390 0.390 0.660
As 0.610 0.610 0.340
S 0.133 0.133 0.841
S 0.867 0.867 0.159

Energy relative to the elements, uncorrected   -0.20 eV/atom

***

| no. | E_tot (eV per formula unit) |
| --- | --- |
| 1 | -47.6 |
| 2 | -15.7 |
| 3 | -32.0 |
| 4 | -33.4 |
| 5 | -26.7 |
| 6 | -24.1 |
| 7 | -22.5 |
| 8 | -21.6 |
| 9 | -31.6 |
| 10 | -22.8 |
| 11 | -50.9 |
| 12 | -48.2 |